The following is a PBE calculation of a geometry-optimized CeHfScN3 structure, from Alexandria via LeMat-Bulk.

Properties
The calculation puts the total energy at -113.70 eV for the cell shown. The calculation puts the magnetic moment at 0.0000 μB/atom. Its density of states at the Fermi level is 3.67 states/eV/f.u. The calculation puts the uncorrected formation energy at -1.609 eV per atom.

Cell lengths 3.341, 5.738, 8.589 Å; angles 102.93, 90.00, 90.00 degrees
Positions (direct):
N: 0.250 0.448 0.836
Sc: 0.750 0.229 0.958
Hf: 0.250 0.137 0.645
Ce: 0.750 0.652 0.695
Ce: 0.250 0.348 0.305
N: 0.750 0.242 0.511
Hf: 0.750 0.863 0.355
N: 0.250 0.758 0.489
Sc: 0.250 0.771 0.042
N: 0.750 0.039 0.155
N: 0.750 0.552 0.164
N: 0.250 0.961 0.845